# Cd3WO6 (GGA+U, optimized geometry)
# Distance to the lowest polymorph of the same formula (kJ per mole of atoms): 0.0
data_Cd3WO6
_cell_length_a 9.3636
_cell_length_b 9.3636
_cell_length_c 11.1897
_cell_angle_alpha 90.00
_cell_angle_beta 90.00
_cell_angle_gamma 120.00
_space_group_name_H-M_alt 'R -3'
_space_group_IT_number 148
_space_group_name_Hall '-R 3'
loop_
_atom_site_label
_atom_site_fract_x
_atom_site_fract_y
_atom_site_fract_z
Cd1 0.0374 0.7711 0.2126
W1 0.0000 0.0000 0.0000
W2 0.0000 0.0000 0.5000
O1 0.0213 0.8435 0.8953
O2 0.0285 0.8410 0.4034